Cs6SeCl5: relaxed, PBE-GGA. Values from VASP.

```
&SYSTEM
  ibrav = 0, nat = 12, ntyp = 3
/
ATOMIC_SPECIES
Cs 132.91 Cs.upf
Se 78.96 Se.upf
Cl 35.45 Cl.upf
CELL_PARAMETERS angstrom
8.637 0.220 1.317
2.127 7.348 4.283
0.144 0.075 8.772
ATOMIC_POSITIONS angstrom
Cs 6.676 0.812 4.359
Cs 3.456 4.283 5.797
Cs 2.757 1.952 1.442
Cs 8.007 5.616 4.159
Cs 7.452 3.360 8.575
Cs 4.231 6.831 10.013
Se 0.000 0.000 0.000
Cl 4.765 1.371 7.246
Cl 0.756 2.472 4.356
Cl 5.382 3.784 2.800
Cl 1.515 4.951 8.699
Cl 6.142 6.272 7.126
```

Calculated values
Uncorrected formation energy: -20.483 eV/f.u.
DOS at the Fermi energy: 11.03 states/eV per cell
Volume: 548.8 Å³ per cell